Record 1
! GGA+U Na3Nd2MoO6, relaxed; values from VASP
! Symmetry: C2/m
&SYSTEM
  ibrav = 0, nat = 12, ntyp = 4
/
ATOMIC_SPECIES
Na 22.99 Na.upf
Nd 144.24 Nd.upf
Mo 95.94 Mo.upf
O 16.00 O.upf
CELL_PARAMETERS angstrom
2.996 -5.207 0.000
2.996 5.207 0.000
-1.936 0.000 5.625
ATOMIC_POSITIONS angstrom
Na 0.000 0.000 0.000
Na 2.996 1.588 0.000
Na 2.996 -1.588 0.000
Nd 2.028 3.464 2.813
Nd 2.028 -3.464 2.813
Mo 2.028 0.000 2.813
O 1.089 1.628 1.596
O 0.143 0.000 4.013
O 1.089 -1.628 1.596
O 2.967 1.628 4.029
O 3.913 0.000 1.612
O 2.967 -1.628 4.029



Record 2
! GGA+U NaNd2MoO6, relaxed; values from VASP
! Symmetry: P1
&SYSTEM
  ibrav = 0, nat = 10, ntyp = 4
/
ATOMIC_SPECIES
Na 22.99 Na.upf
Nd 144.24 Nd.upf
Mo 95.94 Mo.upf
O 16.00 O.upf
CELL_PARAMETERS angstrom
5.788 0.000 0.000
-2.882 5.062 0.000
-0.118 -3.296 4.940
ATOMIC_POSITIONS angstrom
Na 0.000 0.000 0.000
Nd -0.069 0.082 4.033
Nd 2.851 1.672 1.605
Mo -0.063 3.408 2.290
O -1.564 3.461 0.995
O -1.182 2.046 3.302
O 0.657 1.958 0.997
O 2.148 -0.015 3.290
O 3.700 -0.350 0.938
O 4.463 -1.858 3.266



no.,Fermi-level density of states (states/eV/cell),calculated total energy (eV per atom)
1,0.00,-6.47
2,0.00,-7.31